# HoTmCoAg

HoTmCoAg after structural relaxation (PBE-GGA, Alexandria).

The formation energy comes out at -208 meV per atom. The calculation puts the final energy at -4.959 eV/atom. As for the magnetic moment: 0.38 μB per formula unit. As for the energy relative to the lowest polymorph listed for this composition: 67 meV/atom.

Unit cell a=6.9207 b=6.9207 c=6.9207 alpha=90.00 beta=90.00 gamma=90.00
Space group F-43m (No. 216)
Asymmetric unit:
Ho 0.0000 0.0000 0.0000 [4 per cell]
Tm 0.0000 0.0000 0.5000 [4 per cell]
Co 0.2500 0.2500 0.2500 [4 per cell]
Ag 0.2500 0.2500 0.7500 [4 per cell]